1.
Below is AcScSb2 after structural relaxation, with properties calculated at the PBE level.

Values from the calculation:
The energy above the most stable polymorph in this dataset comes out at 230 meV/atom.

Lattice parameters (Å, degrees): 3.8207 3.8207 7.8727 90.00 90.00 90.00
Fractional positions:
Ac  0.0000  0.0000  0.0000
Sc  0.0000  0.0000  0.5000
Sb  0.5000  0.5000  0.2862
Sb  0.5000  0.5000  0.7138

2.
Below is AcScSb2 after structural relaxation, with properties calculated at the PBE level.

Values from the calculation:
The energy above the most stable polymorph in this dataset comes out at 69 meV/atom.

Lattice parameters (Å, degrees): 4.5305 4.5305 11.8784 90.00 90.00 90.00
Fractional positions:
Ac  0.2500  0.2500  0.2197
Ac  0.7500  0.7500  0.7803
Sc  0.2500  0.7500  0.5000
Sc  0.7500  0.2500  0.5000
Sb  0.2500  0.2500  0.6648
Sb  0.2500  0.7500  0.0000
Sb  0.7500  0.2500  0.0000
Sb  0.7500  0.7500  0.3352

3.
Below is AcSc2Sb after structural relaxation, with properties calculated at the PBE level.

Values from the calculation:
The energy above the most stable polymorph in this dataset comes out at 132 meV/atom.

Lattice parameters (Å, degrees): 7.4527 7.4527 7.4527 90.00 90.00 90.00
Fractional positions:
Ac  0.0000  0.0000  0.0000
Ac  0.0000  0.5000  0.5000
Ac  0.5000  0.0000  0.5000
Ac  0.5000  0.5000  0.0000
Sc  0.2500  0.2500  0.2500
Sc  0.2500  0.2500  0.7500
Sc  0.2500  0.7500  0.2500
Sc  0.2500  0.7500  0.7500
Sc  0.7500  0.2500  0.2500
Sc  0.7500  0.2500  0.7500
Sc  0.7500  0.7500  0.2500
Sc  0.7500  0.7500  0.7500
Sb  0.0000  0.0000  0.5000
Sb  0.0000  0.5000  0.0000
Sb  0.5000  0.0000  0.0000
Sb  0.5000  0.5000  0.5000

4.
Below is AcScSb after structural relaxation, with properties calculated at the PBE level.

Values from the calculation:
The energy above the most stable polymorph in this dataset comes out at 252 meV/atom.

Lattice parameters (Å, degrees): 4.1901 13.6273 6.6374 90.00 90.00 90.00
Fractional positions:
Ac  0.0000  0.0000  0.0000
Ac  0.0000  0.0000  0.5000
Ac  0.5000  0.5000  0.0000
Ac  0.5000  0.5000  0.5000
Sc  0.0000  0.3026  0.2500
Sc  0.0000  0.6974  0.7500
Sc  0.5000  0.1974  0.7500
Sc  0.5000  0.8026  0.2500
Sb  0.0000  0.3411  0.7500
Sb  0.0000  0.6589  0.2500
Sb  0.5000  0.1589  0.2500
Sb  0.5000  0.8411  0.7500

5.
Below is AcScSb after structural relaxation, with properties calculated at the PBE level.

Values from the calculation:
The energy above the most stable polymorph in this dataset comes out at 259 meV/atom.

Lattice parameters (Å, degrees): 5.0055 5.0055 4.4284 90.00 90.00 120.00
Fractional positions:
Ac  0.0000  0.0000  0.0000
Sc  0.3333  0.6667  0.5000
Sb  0.6667  0.3333  0.5000

6.
Below is AcScSb2 after structural relaxation, with properties calculated at the PBE level.

Values from the calculation:
The energy above the most stable polymorph in this dataset comes out at 853 meV/atom.

Lattice parameters (Å, degrees): 4.9020 4.9020 26.9006 90.00 90.00 120.00
Fractional positions:
Ac  0.0000  0.0000  0.0000
Ac  0.3333  0.6667  0.6667
Ac  0.6667  0.3333  0.3333
Sc  0.0000  0.0000  0.5000
Sc  0.3333  0.6667  0.1667
Sc  0.6667  0.3333  0.8333
Sb  0.0000  0.0000  0.4003
Sb  0.0000  0.0000  0.5997
Sb  0.3333  0.6667  0.0669
Sb  0.3333  0.6667  0.2664
Sb  0.6667  0.3333  0.7336
Sb  0.6667  0.3333  0.9331

7.
Below is AcScSb after structural relaxation, with properties calculated at the PBE level.

Values from the calculation:
The energy above the most stable polymorph in this dataset comes out at 13 meV/atom.

Lattice parameters (Å, degrees): 4.5767 4.5767 8.8468 90.00 90.00 90.00
Fractional positions:
Ac  0.2500  0.2500  0.1497
Ac  0.7500  0.7500  0.8503
Sc  0.2500  0.7500  0.5000
Sc  0.7500  0.2500  0.5000
Sb  0.2500  0.2500  0.7308
Sb  0.7500  0.7500  0.2692

8.
Below is AcSc3Sb2 after structural relaxation, with properties calculated at the PBE level.

Lattice parameters (Å, degrees): 9.4165 9.4165 9.2415 115.98 115.98 27.31
Fractional positions:
Ac  0.1391  0.1391  0.0638
Ac  0.8609  0.8609  0.9362
Sc  0.0565  0.0565  0.4066
Sc  0.3117  0.3117  0.5378
Sc  0.4144  0.4144  0.3296
Sc  0.5856  0.5856  0.6704
Sc  0.6883  0.6883  0.4622
Sc  0.9435  0.9435  0.5934
Sb  0.2072  0.2072  0.7247
Sb  0.4757  0.4757  0.8215
Sb  0.5243  0.5243  0.1785
Sb  0.7928  0.7928  0.2753

It is found that the electronic total energy values, taken in the order of the records, are -21.593; -44.470; -86.985; -64.894; -16.204; -57.300; -33.883; -70.726 eV per cell.
It is found that the uncorrected formation energy values, taken in the order of the records, are -0.727; -0.888; -0.213; -0.554; -0.547; -0.104; -0.793; -0.669 eV per atom.